[1]
The following is a DFT calculation (PBE) of crystalline Ac3NdSm3Te8 at its relaxed geometry.

Cell lengths 9.0609, 9.0611, 9.2104 Å; angles 119.47, 90.00, 120.00 degrees
Positions (direct):
Te: 0.2642 0.0123 0.2604
Te: 0.2562 0.5124 0.2686
Te: 0.2519 0.5038 0.7396
Te: 0.7481 0.0123 0.2604
Te: 0.7358 0.9877 0.7396
Te: 0.2519 0.9877 0.7396
Te: 0.7481 0.4962 0.2604
Te: 0.7438 0.4876 0.7314
Sm: 0.5000 0.0000 0.5000
Sm: 0.0000 0.5000 0.5000
Sm: 0.5000 0.5000 0.5000
Ac: 0.0000 0.0000 0.0000
Ac: 0.5000 0.5000 0.0000
Ac: 0.0000 0.5000 0.0000
Nd: 0.0000 0.0000 0.5000

Properties
Total magnetic moment: 0.00 μB per formula unit
Calculated density: 7.1 g/cm3
Uncorrected formation energy: -1473 meV per atom

[2]
The following is a DFT calculation (PBE) of crystalline AcNd2Sm3Te6 at its relaxed geometry.

Cell lengths 7.8067, 7.8067, 7.8585 Å; angles 99.54, 99.54, 120.39 degrees
Positions (direct):
Te: 0.0877 0.4294 0.2618
Te: 0.4294 0.0877 0.2618
Te: 0.5706 0.9123 0.7382
Te: 0.2582 0.2582 0.7459
Te: 0.9123 0.5706 0.7382
Te: 0.7418 0.7418 0.2541
Sm: 0.1606 0.8394 0.5000
Sm: 0.5000 0.5000 0.5000
Sm: 0.8394 0.1606 0.5000
Ac: 0.0000 0.0000 0.0000
Nd: 0.3317 0.6683 0.0000
Nd: 0.6683 0.3317 0.0000

Properties
Total magnetic moment: 0.00 μB per formula unit
Calculated density: 7.4 g/cm3
Uncorrected formation energy: -1410 meV per atom

[3]
The following is a DFT calculation (PBE) of crystalline Ac3Nd3SmTe8 at its relaxed geometry.

Cell lengths 9.1132, 9.1134, 9.2567 Å; angles 119.49, 90.00, 120.00 degrees
Positions (direct):
Te: 0.2483 0.4966 0.7389
Te: 0.2576 0.0094 0.2611
Te: 0.7517 0.5034 0.2611
Te: 0.7452 0.4905 0.7357
Te: 0.2548 0.5095 0.2643
Te: 0.7424 0.9906 0.7389
Te: 0.7518 0.0094 0.2611
Te: 0.2482 0.9906 0.7389
Ac: 0.0000 0.5000 0.0000
Ac: 0.0000 0.0000 0.0000
Ac: 0.5000 0.5000 0.0000
Nd: 0.5000 0.0000 0.5000
Nd: 0.5000 0.5000 0.5000
Nd: 0.0000 0.5000 0.5000
Sm: 0.0000 0.0000 0.5000

Properties
Total magnetic moment: 0.00 μB per formula unit
Calculated density: 6.9 g/cm3
Uncorrected formation energy: -1483 meV per atom

[4]
The following is a DFT calculation (PBE) of crystalline AcNd3Sm2Te6 at its relaxed geometry.

Cell lengths 7.8358, 7.8358, 7.8480 Å; angles 99.59, 99.59, 120.32 degrees
Positions (direct):
Nd: 0.5000 0.5000 0.5000
Nd: 0.8424 0.1576 0.5000
Nd: 0.1576 0.8424 0.5000
Sm: 0.6679 0.3321 0.0000
Sm: 0.3321 0.6679 0.0000
Te: 0.0852 0.4306 0.2552
Te: 0.2647 0.2647 0.7550
Te: 0.5694 0.9148 0.7448
Te: 0.7353 0.7353 0.2450
Te: 0.4306 0.0852 0.2552
Te: 0.9148 0.5694 0.7448
Ac: 0.0000 0.0000 0.0000

Properties
Total magnetic moment: 0.00 μB per formula unit
Calculated density: 7.3 g/cm3
Uncorrected formation energy: -1415 meV per atom

[5]
The following is a DFT calculation (PBE) of crystalline AcNdSmTe3 at its relaxed geometry.

Cell lengths 4.4692, 8.8824, 11.1895 Å; angles 106.88, 90.00, 90.00 degrees
Positions (direct):
Sm: 0.7500 0.3423 0.9015
Sm: 0.2500 0.6577 0.0985
Nd: 0.7500 0.8489 0.3781
Nd: 0.2500 0.1511 0.6219
Te: 0.2500 0.5228 0.8011
Te: 0.2500 0.7705 0.5491
Te: 0.7500 0.9043 0.1041
Te: 0.2500 0.0957 0.8959
Te: 0.7500 0.4772 0.1989
Te: 0.7500 0.2295 0.4509
Ac: 0.2500 0.1908 0.2191
Ac: 0.7500 0.8092 0.7809

Properties
Total magnetic moment: 0.77 μB per formula unit
Calculated density: 7.1 g/cm3
Uncorrected formation energy: -1321 meV per atom

[6]
The following is a DFT calculation (PBE) of crystalline AcNdSmTh at its relaxed geometry.

Cell lengths 3.6998, 3.6998, 10.6369 Å; angles 90.00, 90.00, 90.00 degrees
Positions (direct):
Nd: 0.5000 0.5000 0.7983
Sm: 0.5000 0.5000 0.3437
Ac: 0.0000 0.0000 0.0731
Th: 0.0000 0.0000 0.5696

Properties
Total magnetic moment: 0.00 μB per formula unit
Calculated formation energy: 0.044 eV/atom
Calculated density: 8.6 g/cm3
Polymorph energy (0 for the lowest one): 0 meV per atom

[7]
The following is a DFT calculation (PBE) of crystalline AcNdSmTh at its relaxed geometry.

Cell lengths 5.8935, 5.8935, 5.8935 Å; angles 60.00, 60.00, 60.00 degrees
Positions (direct):
Th: 0.0000 0.0000 0.0000
Sm: 0.7500 0.7500 0.7500
Nd: 0.2500 0.2500 0.2500
Ac: 0.5000 0.5000 0.5000

Properties
Total magnetic moment: 0.00 μB per formula unit
Calculated formation energy: 0.185 eV/atom
Calculated density: 8.6 g/cm3
Polymorph energy (0 for the lowest one): 142 meV per atom

[8]
The following is a DFT calculation (PBE) of crystalline AcNdSm2Tl2 at its relaxed geometry.

Cell lengths 5.2510, 7.1514, 10.5054 Å; angles 90.00, 90.00, 90.00 degrees
Positions (direct):
Sm: 0.0000 0.3405 0.1795
Sm: 0.5000 0.0573 0.0461
Sm: 0.5000 0.5573 0.9539
Sm: 0.0000 0.8405 0.8205
Ac: 0.0000 0.4493 0.5480
Ac: 0.0000 0.9493 0.4520
Nd: 0.5000 0.6791 0.3036
Nd: 0.5000 0.1791 0.6964
Tl: 0.5000 0.2229 0.3549
Tl: 0.0000 0.2966 0.8748
Tl: 0.0000 0.7966 0.1252
Tl: 0.5000 0.7229 0.6451

Properties
Total magnetic moment: 0.00 μB per formula unit
Calculated formation energy: -0.241 eV/atom
Calculated density: 9.1 g/cm3